A relaxed Sc3ZnSn crystal. Source: Alexandria, functional PBE.

Total moment, μB per cell: 0.00
SG: P6_3/mmc (194)
Density, Mg/m³: 4.67
Energy relative to the lowest polymorph listed for this composition, meV per atom: 0
Calculated volume, A^3/atom: 22.69

Lattice parameters (Å, degrees): 7.2246 7.2246 5.0195 90.00 90.00 120.00
Fractional positions:
Sc  0.1909  0.3819  0.2500
Sc  0.1909  0.8091  0.2500
Sc  0.3819  0.1909  0.7500
Sc  0.6181  0.8091  0.2500
Sc  0.8091  0.1909  0.7500
Sc  0.8091  0.6181  0.7500
Zn  0.0000  0.0000  0.0000
Zn  0.0000  0.0000  0.5000
Sn  0.3333  0.6667  0.7500
Sn  0.6667  0.3333  0.2500